(1)
The following is a DFT calculation (PBE-GGA) of a relaxed PmSmLu2 crystal.

a = 4.9261 Å, b = 5.0627 Å, c = 5.0627 Å
α = 90.00°, β = 90.00°, γ = 90.00°
Closest atoms and distances in Å follow each position.
Element x y z (fractional)
Lu1 0.0000 0.0000 0.5000  4 Pm 3.53, 4 Sm 3.53, 4 Lu 3.58
Lu2 0.0000 0.5000 0.0000  4 Pm 3.53, 4 Sm 3.53, 4 Lu 3.58
Sm1 0.5000 0.0000 0.0000  8 Lu 3.53, 4 Pm 3.58
Pm1 0.5000 0.5000 0.5000  8 Lu 3.53, 4 Sm 3.58

The space-group type is P4/mmm (123). The energy of formation from the pure elements comes out at 0.1 eV/f.u. The calculation puts the relative energy among the computed polymorphs at 3 meV per atom. The calculation puts the total energy at -18.40 eV per cell.

=====

(2)
The following is a DFT calculation (PBE-GGA) of a relaxed PmSmLu crystal.

a = 3.4775 Å, b = 5.6651 Å, c = 5.6651 Å
α = 120.00°, β = 90.00°, γ = 90.00°
Closest atoms and distances in Å follow each position.
Element x y z (fractional)
Lu1 0.1676 0.3333 0.6667  3 Pm 3.27, 2 Lu 3.48
Sm1 0.6665 0.6667 0.3333  2 Sm 3.48, 6 Lu 3.70-3.71, 6 Pm 3.70-3.71
Pm1 0.1659 0.0000 0.0000  3 Lu 3.27, 2 Pm 3.48

The space-group type is P3m1 (156). The energy of formation from the pure elements comes out at 0.2 eV/f.u. The calculation puts the relative energy among the computed polymorphs at 46 meV per atom. The calculation puts the total energy at -13.77 eV per cell.

=====

(3)
The following is a DFT calculation (PBE-GGA) of a relaxed PmSmLu2 crystal.

a = 3.5555 Å, b = 3.5555 Å, c = 11.6380 Å
α = 81.21°, β = 81.21°, γ = 60.00°
Closest atoms and distances in Å follow each position.
Element x y z (fractional)
Lu1 0.7502 0.7502 0.7493  3 Sm 3.52, 3 Pm 3.53, 6 Lu 3.56
Lu2 0.2498 0.2498 0.2507  3 Sm 3.52, 3 Pm 3.53, 6 Lu 3.56
Sm1 0.5000 0.5000 0.5000  6 Lu 3.52, 6 Sm 3.56
Pm1 0.0000 0.0000 0.0000  6 Lu 3.53, 6 Pm 3.56

The space-group type is R-3m (166). The energy of formation from the pure elements comes out at 0.1 eV/f.u. The calculation puts the relative energy among the computed polymorphs at 0 meV per atom. The calculation puts the total energy at -18.42 eV per cell.

=====

(4)
The following is a DFT calculation (PBE-GGA) of a relaxed PmSmLu2 crystal.

a = 3.5723 Å, b = 3.5723 Å, c = 9.9006 Å
α = 90.00°, β = 90.00°, γ = 90.00°
Closest atoms and distances in Å follow each position.
Element x y z (fractional)
Lu1 0.0000 0.0000 0.7492  4 Sm 3.53, 4 Pm 3.54, 4 Lu 3.57
Lu2 0.0000 0.0000 0.2508  4 Sm 3.53, 4 Pm 3.54, 4 Lu 3.57
Sm1 0.5000 0.5000 0.5000  8 Lu 3.53, 4 Sm 3.57
Pm1 0.5000 0.5000 0.0000  8 Lu 3.54, 4 Pm 3.57

The space-group type is P4/mmm (123). The energy of formation from the pure elements comes out at 0.1 eV/f.u. The calculation puts the relative energy among the computed polymorphs at 4 meV per atom. The calculation puts the total energy at -18.40 eV per cell.

=====

(5)
The following is a DFT calculation (PBE-GGA) of a relaxed PmSmLuSn crystal.

a = 5.4605 Å, b = 5.4605 Å, c = 5.4605 Å
α = 60.00°, β = 60.00°, γ = 60.00°
Closest atoms and distances in Å follow each position.
Element x y z (fractional)
Lu1 0.7500 0.7500 0.7500  4 Pm 3.34, 4 Sm 3.34
Sn1 0.2500 0.2500 0.2500  4 Pm 3.34, 4 Sm 3.34
Sm1 0.5000 0.5000 0.5000  4 Sn 3.34, 4 Lu 3.34
Pm1 0.0000 0.0000 0.0000  4 Sn 3.34, 4 Lu 3.34

The space-group type is F-43m (216). The energy of formation from the pure elements comes out at -1.0 eV/f.u. The calculation puts the total energy at -19.02 eV per cell.

=====

(6)
The following is a DFT calculation (PBE-GGA) of a relaxed PmSmLuTh crystal.

a = 5.6947 Å, b = 5.6947 Å, c = 5.6947 Å
α = 60.00°, β = 60.00°, γ = 60.00°
Closest atoms and distances in Å follow each position.
Element x y z (fractional)
Lu1 0.5000 0.5000 0.5000  4 Sm 3.49, 4 Th 3.49
Th1 0.7500 0.7500 0.7500  4 Pm 3.49, 4 Lu 3.49
Sm1 0.2500 0.2500 0.2500  4 Pm 3.49, 4 Lu 3.49
Pm1 0.0000 0.0000 0.0000  4 Th 3.49, 4 Sm 3.49

The space-group type is F-43m (216). The energy of formation from the pure elements comes out at 0.6 eV/f.u. The calculation puts the total energy at -20.77 eV per cell.

=====

(7)
The following is a DFT calculation (PBE-GGA) of a relaxed PmSmLuTl crystal.

a = 5.5223 Å, b = 5.5223 Å, c = 5.5223 Å
α = 60.00°, β = 60.00°, γ = 60.00°
Closest atoms and distances in Å follow each position.
Element x y z (fractional)
Tl1 0.7500 0.7500 0.7500  4 Pm 3.38, 4 Sm 3.38
Lu1 0.2500 0.2500 0.2500  4 Pm 3.38, 4 Sm 3.38
Sm1 0.0000 0.0000 0.0000  4 Lu 3.38, 4 Tl 3.38
Pm1 0.5000 0.5000 0.5000  4 Tl 3.38, 4 Lu 3.38

The space-group type is F-43m (216). The energy of formation from the pure elements comes out at -0.3 eV/f.u. The calculation puts the total energy at -16.63 eV per cell.

=====

(8)
The following is a DFT calculation (PBE-GGA) of a relaxed PmSmYLu crystal.

a = 5.7046 Å, b = 5.7046 Å, c = 5.7046 Å
α = 60.00°, β = 60.00°, γ = 60.00°
Closest atoms and distances in Å follow each position.
Element x y z (fractional)
Y1 0.7500 0.7500 0.7500  4 Pm 3.49, 4 Lu 3.49
Lu1 0.0000 0.0000 0.0000  4 Y 3.49, 4 Sm 3.49
Sm1 0.2500 0.2500 0.2500  4 Pm 3.49, 4 Lu 3.49
Pm1 0.5000 0.5000 0.5000  4 Sm 3.49, 4 Y 3.49

The space-group type is F-43m (216). The energy of formation from the pure elements comes out at 0.6 eV/f.u. The calculation puts the total energy at -19.88 eV per cell.

=====

(9)
The following is a DFT calculation (PBE-GGA) of a relaxed Pm2LuSn crystal.

a = 4.9076 Å, b = 4.8343 Å, c = 4.8343 Å
α = 90.00°, β = 90.00°, γ = 90.00°
Closest atoms and distances in Å follow each position.
Element x y z (fractional)
Lu1 0.5000 0.5000 0.5000  4 Sn 3.42, 8 Pm 3.44
Sn1 0.5000 0.0000 0.0000  4 Lu 3.42, 8 Pm 3.44
Pm1 0.0000 0.0000 0.5000  4 Pm 3.42, 4 Sn 3.44, 4 Lu 3.44
Pm2 0.0000 0.5000 0.0000  4 Pm 3.42, 4 Sn 3.44, 4 Lu 3.44

The space-group type is P4/mmm (123). The energy of formation from the pure elements comes out at -1.7 eV/f.u. The calculation puts the relative energy among the computed polymorphs at 0 meV per atom. The calculation puts the total energy at -19.70 eV per cell.

=====

(10)
The following is a DFT calculation (PBE-GGA) of a relaxed PmLuSn crystal.

a = 3.9168 Å, b = 5.1040 Å, c = 5.1040 Å
α = 120.00°, β = 90.00°, γ = 90.00°
Closest atoms and distances in Å follow each position.
Element x y z (fractional)
Lu1 0.5608 0.6667 0.3333  3 Sn 3.00
Sn1 0.4176 0.3333 0.6667  3 Lu 3.00, 3 Pm 3.33
Pm1 0.0216 0.0000 0.0000  3 Sn 3.33, 6 Lu 3.46-3.63

The space-group type is P3m1 (156). The energy of formation from the pure elements comes out at -1.1 eV/f.u. The calculation puts the relative energy among the computed polymorphs at 17 meV per atom. The calculation puts the total energy at -14.40 eV per cell.

=====

(11)
The following is a DFT calculation (PBE-GGA) of a relaxed Pm2LuSn crystal.

a = 5.4722 Å, b = 5.4722 Å, c = 5.4722 Å
α = 60.00°, β = 60.00°, γ = 60.00°
Closest atoms and distances in Å follow each position.
Element x y z (fractional)
Lu1 0.0000 0.0000 0.0000  8 Pm 3.35
Sn1 0.5000 0.5000 0.5000  8 Pm 3.35
Pm1 0.2500 0.2500 0.2500  4 Sn 3.35, 4 Lu 3.35
Pm2 0.7500 0.7500 0.7500  4 Sn 3.35, 4 Lu 3.35

The space-group type is Fm-3m (225). The energy of formation from the pure elements comes out at -1.0 eV/f.u. The calculation puts the relative energy among the computed polymorphs at 158 meV per atom. The calculation puts the total energy at -19.06 eV per cell.

=====

(12)
The following is a DFT calculation (PBE-GGA) of a relaxed PmLuSn crystal.

a = 4.0852 Å, b = 4.0852 Å, c = 5.7738 Å
α = 110.72°, β = 110.72°, γ = 90.00°
Closest atoms and distances in Å follow each position.
Element x y z (fractional)
Lu1 0.2718 0.2718 0.5435  5 Pm 3.16-3.43, 5 Sn 3.25-3.50
Sn1 0.6220 0.6220 0.2441  5 Lu 3.25-3.50, 5 Pm 3.33-3.34
Pm1 0.9562 0.9562 0.9124  5 Lu 3.16-3.43, 5 Sn 3.33-3.34

The space-group type is I4mm (107). The energy of formation from the pure elements comes out at -1.2 eV/f.u. The calculation puts the relative energy among the computed polymorphs at 0 meV per atom. The calculation puts the total energy at -14.45 eV per cell.

=====

(13)
The following is a DFT calculation (PBE-GGA) of a relaxed PmLuSn crystal.

a = 5.1456 Å, b = 5.1456 Å, c = 5.1456 Å
α = 60.00°, β = 60.00°, γ = 60.00°
Closest atoms and distances in Å follow each position.
Element x y z (fractional)
Lu1 0.0000 0.0000 0.0000  4 Sn 3.15
Sn1 0.2500 0.2500 0.2500  4 Pm 3.15, 4 Lu 3.15
Pm1 0.5000 0.5000 0.5000  4 Sn 3.15

The space-group type is F-43m (216). The energy of formation from the pure elements comes out at -1.1 eV/f.u. The calculation puts the relative energy among the computed polymorphs at 25 meV per atom. The calculation puts the total energy at -14.37 eV per cell.

=====

(14)
The following is a DFT calculation (PBE-GGA) of a relaxed TbPmLuSn crystal.

a = 5.4108 Å, b = 5.4108 Å, c = 5.4108 Å
α = 60.00°, β = 60.00°, γ = 60.00°
Closest atoms and distances in Å follow each position.
Element x y z (fractional)
Lu1 0.5000 0.5000 0.5000  4 Sn 3.31, 4 Pm 3.31
Tb1 0.0000 0.0000 0.0000  4 Pm 3.31, 4 Sn 3.31
Sn1 0.2500 0.2500 0.2500  4 Tb 3.31, 4 Lu 3.31
Pm1 0.7500 0.7500 0.7500  4 Tb 3.31, 4 Lu 3.31

The space-group type is F-43m (216). The energy of formation from the pure elements comes out at -0.8 eV/f.u. The calculation puts the total energy at -18.67 eV per cell.

=====

(15)
The following is a DFT calculation (PBE-GGA) of a relaxed PmLuTlSn crystal.

a = 5.3790 Å, b = 5.3790 Å, c = 5.3790 Å
α = 60.00°, β = 60.00°, γ = 60.00°
Closest atoms and distances in Å follow each position.
Element x y z (fractional)
Tl1 0.2500 0.2500 0.2500  4 Pm 3.29, 4 Lu 3.29
Lu1 0.5000 0.5000 0.5000  4 Tl 3.29, 4 Sn 3.29
Sn1 0.7500 0.7500 0.7500  4 Pm 3.29, 4 Lu 3.29
Pm1 0.0000 0.0000 0.0000  4 Tl 3.29, 4 Sn 3.29

The space-group type is F-43m (216). The energy of formation from the pure elements comes out at -1.7 eV/f.u. The calculation puts the total energy at -17.34 eV per cell.

=====

(16)
The following is a DFT calculation (PBE-GGA) of a relaxed SrPm2Lu crystal.

a = 5.2318 Å, b = 5.2439 Å, c = 5.2439 Å
α = 90.00°, β = 90.00°, γ = 90.00°
Closest atoms and distances in Å follow each position.
Element x y z (fractional)
Sr1 0.5000 0.0000 0.0000  8 Pm 3.70, 4 Lu 3.71
Lu1 0.5000 0.5000 0.5000  8 Pm 3.70, 4 Sr 3.71
Pm1 0.0000 0.0000 0.5000  4 Sr 3.70, 4 Lu 3.70, 4 Pm 3.71
Pm2 0.0000 0.5000 0.0000  4 Sr 3.70, 4 Lu 3.70, 4 Pm 3.71

The space-group type is P4/mmm (123). The energy of formation from the pure elements comes out at 0.8 eV/f.u. The calculation puts the relative energy among the computed polymorphs at 85 meV per atom. The calculation puts the total energy at -14.94 eV per cell.

=====

(17)
The following is a DFT calculation (PBE-GGA) of a relaxed SrPm2Lu crystal.

a = 3.6330 Å, b = 3.6330 Å, c = 13.1424 Å
α = 82.06°, β = 82.06°, γ = 60.00°
Closest atoms and distances in Å follow each position.
Element x y z (fractional)
Sr1 0.0000 0.0000 0.0000  6 Sr 3.63, 2 Pm 3.67
Lu1 0.5000 0.5000 0.5000  6 Pm 3.51, 6 Lu 3.63
Pm1 0.0944 0.0944 0.7169  3 Lu 3.51, 6 Pm 3.63, 1 Sr 3.67
Pm2 0.9056 0.9056 0.2831  3 Lu 3.51, 6 Pm 3.63, 1 Sr 3.67

The space-group type is R-3m (166). The energy of formation from the pure elements comes out at 0.8 eV/f.u. The calculation puts the relative energy among the computed polymorphs at 99 meV per atom. The calculation puts the total energy at -14.89 eV per cell.

=====

(18)
The following is a DFT calculation (PBE-GGA) of a relaxed SrPmLu crystal.

a = 3.7293 Å, b = 3.7293 Å, c = 9.2447 Å
α = 90.00°, β = 90.00°, γ = 120.00°
Closest atoms and distances in Å follow each position.
Element x y z (fractional)
Sr1 0.0000 0.0000 0.9935  6 Sr 3.73, 3 Lu 3.84, 3 Pm 3.99
Lu1 0.3333 0.6667 0.6495  3 Pm 3.46, 6 Lu 3.73, 3 Sr 3.84
Pm1 0.6667 0.3333 0.3570  3 Lu 3.46, 6 Pm 3.73

The space-group type is P3m1 (156). The energy of formation from the pure elements comes out at 0.5 eV/f.u. The calculation puts the relative energy among the computed polymorphs at 23 meV per atom. The calculation puts the total energy at -10.48 eV per cell.

=====

(19)
The following is a DFT calculation (PBE-GGA) of a relaxed SrPm2Lu crystal.

a = 4.0568 Å, b = 4.0568 Å, c = 9.1986 Å
α = 90.00°, β = 90.00°, γ = 90.00°
Closest atoms and distances in Å follow each position.
Element x y z (fractional)
Sr1 0.5000 0.5000 0.5000  8 Pm 3.97, 4 Sr 4.06
Lu1 0.5000 0.5000 0.0000  8 Pm 3.42
Pm1 0.0000 0.0000 0.7977  4 Lu 3.42, 1 Pm 3.72
Pm2 0.0000 0.0000 0.2023  4 Lu 3.42, 1 Pm 3.72

The space-group type is P4/mmm (123). The energy of formation from the pure elements comes out at 0.4 eV/f.u. The calculation puts the relative energy among the computed polymorphs at 0 meV per atom. The calculation puts the total energy at -15.28 eV per cell.

=====

(20)
The following is a DFT calculation (PBE-GGA) of a relaxed SrPmLu crystal.

a = 3.7469 Å, b = 3.7469 Å, c = 8.4159 Å
α = 102.86°, β = 102.86°, γ = 90.00°
Closest atoms and distances in Å follow each position.
Element x y z (fractional)
Sr1 0.0019 0.0019 0.0038  4 Sr 3.75, 4 Lu 3.88, 4 Pm 3.95
Lu1 0.6798 0.6798 0.3595  4 Pm 3.45, 4 Lu 3.75
Pm1 0.3183 0.3183 0.6367  4 Lu 3.45, 4 Pm 3.75

The space-group type is I4mm (107). The energy of formation from the pure elements comes out at 0.4 eV/f.u. The calculation puts the relative energy among the computed polymorphs at 0 meV per atom. The calculation puts the total energy at -10.55 eV per cell.